<a>
Entry from the Alexandria database: crystalline SmGe2Pd7 at its relaxed geometry (GGA-PBE).

Cell lengths 4.5468, 7.0957, 7.0957 Å; angles 117.49, 90.00, 90.00 degrees
Last column: nearest neighbours and their distance in Å.
Positions (direct):
Pd (0.0000, 0.7657, 0.2343)  2 Ge 2.42
Pd (0.5000, 0.5000, 0.5000)  2 Ge 2.40
Pd (0.5000, 0.0639, 0.3114)  2 Ge 2.47-2.57, 2 Pd 2.75-2.76
Pd (0.5000, 0.3114, 0.0639)  2 Ge 2.47-2.57, 2 Pd 2.75-2.76
Pd (0.5000, 0.9361, 0.6886)  2 Ge 2.47-2.57, 2 Pd 2.75-2.76
Pd (0.5000, 0.6886, 0.9361)  2 Ge 2.47-2.57, 2 Pd 2.75-2.76
Pd (0.0000, 0.2343, 0.7657)  2 Ge 2.42
Ge (0.5000, 0.6977, 0.3023)  7 Pd 2.40-2.57
Ge (0.5000, 0.3023, 0.6977)  7 Pd 2.40-2.57
Sm (0.0000, 0.0000, 0.0000)  10 Pd 2.84-3.05

<b>
Entry from the Alexandria database: crystalline SmGe2Pd7 at its relaxed geometry (GGA-PBE).

Cell lengths 4.1135, 4.1135, 10.6839 Å; angles 101.10, 101.10, 90.00 degrees
Last column: nearest neighbours and their distance in Å.
Positions (direct):
Pd (0.5000, 0.5000, 0.0000)  4 Sm 2.91, 8 Pd 2.99
Pd (0.2500, 0.7500, 0.5000)  4 Ge 2.57
Pd (0.3945, 0.8945, 0.7890)  2 Ge 2.51
Pd (0.6055, 0.1055, 0.2110)  2 Ge 2.51
Pd (0.1055, 0.6055, 0.2110)  2 Ge 2.51
Pd (0.7500, 0.2500, 0.5000)  4 Ge 2.57
Pd (0.8945, 0.3945, 0.7890)  2 Ge 2.51
Ge (0.6753, 0.6753, 0.3506)  8 Pd 2.51-2.57
Ge (0.3247, 0.3247, 0.6494)  8 Pd 2.51-2.57
Sm (0.0000, 0.0000, 0.0000)  12 Pd 2.91-2.99

Most stable: <b> (next structure +296 meV/atom)

<a>
Entry from the Alexandria database: crystalline TbSmGePd at its relaxed geometry (GGA-PBE).

Cell lengths 5.0783, 5.0783, 5.0783 Å; angles 60.00, 60.00, 60.00 degrees
Last column: nearest neighbours and their distance in Å.
Positions (direct):
Pd (0.2500, 0.2500, 0.2500)  4 Sm 3.11, 4 Tb 3.11
Sm (0.0000, 0.0000, 0.0000)  4 Ge 3.11, 4 Pd 3.11
Ge (0.7500, 0.7500, 0.7500)  4 Tb 3.11, 4 Sm 3.11
Tb (0.5000, 0.5000, 0.5000)  4 Pd 3.11, 4 Ge 3.11

<b>
Entry from the Alexandria database: crystalline TbSmGePd at its relaxed geometry (GGA-PBE).

Cell lengths 4.0073, 4.3216, 5.8534 Å; angles 90.00, 110.02, 90.00 degrees
Last column: nearest neighbours and their distance in Å.
Positions (direct):
Ge (0.5797, 0.5000, 0.1593)  2 Pd 2.79, 4 Sm 3.02, 3 Tb 3.11-3.12
Sm (0.1393, 0.0000, 0.2785)  4 Ge 3.02, 3 Pd 3.08-3.14
Pd (0.4191, 0.0000, 0.8381)  2 Ge 2.79, 4 Tb 3.01, 1 Sm 3.08
Tb (0.8620, 0.5000, 0.7240)  4 Pd 3.01, 3 Ge 3.11-3.12

Most stable: <b> (next structure +90 meV/atom)